Below is a geometry-optimized Tm2GaF structure, with properties calculated at the PBE level.

```
data_Tm2GaF
_chemical_formula_sum 'Tm6 Ga3 F3'
_symmetry_space_group_name_H-M 'P 1'
_symmetry_Int_Tables_number 1
_symmetry_space_group_name_Hall 'P 1'
_cell_length_a 4.462
_cell_length_b 4.462
_cell_length_c 20.555
_cell_angle_alpha 90.00
_cell_angle_beta 90.00
_cell_angle_gamma 120.00
loop_
_atom_site_label
_atom_site_fract_x
_atom_site_fract_y
_atom_site_fract_z
_atom_site_occupancy
Tm1 0.000 0.000 0.104 1
Tm2 0.000 0.000 0.896 1
Tm3 0.333 0.667 0.563 1
Tm4 0.333 0.667 0.771 1
Tm5 0.667 0.333 0.229 1
Tm6 0.667 0.333 0.437 1
Ga1 0.000 0.000 0.500 1
Ga2 0.333 0.667 0.167 1
Ga3 0.667 0.333 0.833 1
F1 0.000 0.000 0.000 1
F2 0.333 0.667 0.667 1
F3 0.667 0.333 0.333 1
```

Output
Crystal system   trigonal
Formation energy (no corrections)   -1.44 eV per atom



Below is a geometry-optimized BaMgGa4Ag2 structure, with properties calculated at the PBE level.

```
data_BaMgGa4Ag2
_chemical_formula_sum 'Ba1 Mg1 Ga4 Ag2'
_symmetry_space_group_name_H-M 'P 1'
_symmetry_Int_Tables_number 1
_symmetry_space_group_name_Hall 'P 1'
_cell_length_a 10.383
_cell_length_b 10.383
_cell_length_c 10.383
_cell_angle_alpha 25.41
_cell_angle_beta 25.41
_cell_angle_gamma 25.41
loop_
_atom_site_label
_atom_site_fract_x
_atom_site_fract_y
_atom_site_fract_z
_atom_site_occupancy
Ba1 0.000 0.000 0.000 1
Mg1 0.500 0.500 0.500 1
Ga1 0.121 0.121 0.121 1
Ga2 0.405 0.405 0.405 1
Ga3 0.595 0.595 0.595 1
Ga4 0.879 0.879 0.879 1
Ag1 0.225 0.225 0.225 1
Ag2 0.775 0.775 0.775 1
```

Output
Crystal system   trigonal
Calculated formation energy   -0.21 eV per atom